(1)
La2HfScB: optimized geometry, GGA-PBE.

Lattice parameters (Å, degrees): 5.754 5.754 4.252 90.00 90.00 90.00
Positions (direct):
La  0.000  0.500  0.000
La  0.500  0.000  0.000
Hf  0.000  0.000  0.500
Sc  0.500  0.500  0.000
B  0.500  0.500  0.500

Values from the calculation:
Energy relative to the elements   1.20 eV/atom
Space group   P4/mmm, No. 123
Mass density   6.040 Mg/m³

(2)
Sr2LaHfB: optimized geometry, GGA-PBE.

Lattice parameters (Å, degrees): 6.228 6.228 5.242 90.00 90.00 90.00
Positions (direct):
Sr  0.000  0.500  0.000
Sr  0.500  0.000  0.000
La  0.000  0.000  0.000
Hf  0.000  0.000  0.500
B  0.500  0.500  0.500

Values from the calculation:
Energy relative to the elements   1.91 eV/atom
Space group   P4/mmm, No. 123
Mass density   4.112 Mg/m³

(3)
LaHfTi2B: optimized geometry, GGA-PBE.

Lattice parameters (Å, degrees): 4.642 4.642 5.197 90.00 90.00 90.00
Positions (direct):
La  0.000  0.000  0.000
Hf  0.000  0.000  0.500
Ti  0.000  0.500  0.000
Ti  0.500  0.000  0.000
B  0.500  0.500  0.500

Values from the calculation:
Energy relative to the elements   2.16 eV/atom
Space group   P4/mmm, No. 123
Mass density   6.285 Mg/m³

(4)
La2HfTlB: optimized geometry, GGA-PBE.

Lattice parameters (Å, degrees): 5.289 5.289 4.689 90.00 90.00 90.00
Positions (direct):
La  0.000  0.500  0.000
La  0.500  0.000  0.000
Hf  0.000  0.000  0.500
Tl  0.500  0.500  0.500
B  0.500  0.500  0.000

Values from the calculation:
Energy relative to the elements   0.48 eV/atom
Space group   P4/mmm, No. 123
Mass density   8.500 Mg/m³

(5)
LiHfB3: optimized geometry, GGA-PBE.

Lattice parameters (Å, degrees): 4.473 4.473 4.473 90.00 90.00 90.00
Positions (direct):
Li  0.000  0.000  0.000
Hf  0.500  0.500  0.500
B  0.000  0.500  0.500
B  0.500  0.000  0.500
B  0.500  0.500  0.000

Values from the calculation:
Energy relative to the elements   1.50 eV/atom
Space group   Pm-3m, No. 221
Mass density   4.042 Mg/m³
Energy above the most stable polymorph in this dataset   559 meV/atom

(6)
Li2Hf2B: optimized geometry, GGA-PBE.

Lattice parameters (Å, degrees): 5.902 5.902 4.195 90.00 90.00 90.00
Positions (direct):
Li  0.141  0.359  0.000
Li  0.359  0.859  0.000
Li  0.641  0.141  0.000
Li  0.859  0.641  0.000
Hf  0.179  0.679  0.500
Hf  0.321  0.179  0.500
Hf  0.679  0.821  0.500
Hf  0.821  0.321  0.500
B  0.000  0.000  0.000
B  0.500  0.500  0.000

Values from the calculation:
Energy relative to the elements   0.46 eV/atom
Space group   P4/mbm, No. 127
Mass density   8.674 Mg/m³
Energy above the most stable polymorph in this dataset   0 meV/atom

(7)
LiHfB3: optimized geometry, GGA-PBE.

Lattice parameters (Å, degrees): 3.677 3.677 3.677 90.00 90.00 90.00
Positions (direct):
Li  0.000  0.000  0.000
Hf  0.500  0.500  0.500
B  0.000  0.000  0.500
B  0.000  0.500  0.000
B  0.500  0.000  0.000

Values from the calculation:
Energy relative to the elements   0.94 eV/atom
Space group   Pm-3m, No. 221
Mass density   7.277 Mg/m³
Energy above the most stable polymorph in this dataset   0 meV/atom

(8)
Li2Hf2B: optimized geometry, GGA-PBE.

Lattice parameters (Å, degrees): 3.993 3.993 10.379 90.00 90.00 90.00
Positions (direct):
Li  0.000  0.000  0.080
Li  0.000  0.000  0.920
Li  0.500  0.500  0.420
Li  0.500  0.500  0.580
Hf  0.000  0.500  0.250
Hf  0.000  0.500  0.750
Hf  0.500  0.000  0.250
Hf  0.500  0.000  0.750
B  0.000  0.000  0.500
B  0.500  0.500  0.000

Values from the calculation:
Energy relative to the elements   1.20 eV/atom
Space group   I4/mmm, No. 139
Mass density   7.658 Mg/m³
Energy above the most stable polymorph in this dataset   747 meV/atom

Result set for E_tot: -5.37; -3.08; -5.31; -5.29; -4.88; -5.63; -5.44; -4.88 eV/atom, one per record in the order listed.